Entry from Alexandria: a geometry-optimized MgNbZn4 structure (PBE).

Structure (POSCAR):
```
MgNbZn4
1.0
0.0000 3.6357 3.6357
3.6357 0.0000 3.6357
3.6357 3.6357 0.0000
Mg Nb Zn
1 1 4
Direct
0.0000 0.0000 0.0000
0.7500 0.7500 0.7500
0.3762 0.3762 0.3762
0.3762 0.3762 0.8715
0.3762 0.8715 0.3762
0.8715 0.3762 0.3762
```

Calculated values
Total moment, μB/atom: 0.2833
E_tot, eV per atom: -2.73
Symmetry: F-43m (216)
Formation enthalpy at 0 K, meV/atom: 64

=====

Entry from Alexandria: a geometry-optimized Rb3U2Se9 structure (PBE).

Structure (POSCAR):
```
Rb3U2Se9
1.0
7.5141 4.3383 4.9812
-7.5141 4.3383 4.9812
0.0000 -8.6766 4.9812
Rb U Se
6 4 18
Direct
0.0807 0.2886 0.6307
0.1307 0.7886 0.5807
0.2886 0.6307 0.0807
0.5807 0.1307 0.7886
0.6307 0.0807 0.2886
0.7886 0.5807 0.1307
0.2378 0.2378 0.2378
0.4804 0.4804 0.4804
0.7378 0.7378 0.7378
0.9804 0.9804 0.9804
0.0625 0.8587 0.2495
0.0749 0.2677 0.9817
0.2001 0.4838 0.3692
0.2495 0.0625 0.8587
0.2677 0.9817 0.0749
0.3587 0.5625 0.7495
0.3692 0.2001 0.4838
0.4817 0.7677 0.5749
0.4838 0.3692 0.2001
0.5625 0.7495 0.3587
0.5749 0.4817 0.7677
0.7001 0.8692 0.9838
0.7495 0.3587 0.5625
0.7677 0.5749 0.4817
0.8587 0.2495 0.0625
0.8692 0.9838 0.7001
0.9817 0.0749 0.2677
0.9838 0.7001 0.8692
```

Calculated values
Total moment, μB/atom: 0.2143
Formation energy without anion corrections, eV per atom: -0.95
E_tot, eV per atom: -5.01
Symmetry: R3c (161)

=====

Entry from Alexandria: a geometry-optimized BaMnTe2 structure (PBE).

Structure (POSCAR):
```
BaMnTe2
1.0
5.3637 0.0000 0.0000
-2.6818 4.6451 0.0000
0.0000 0.0000 25.5209
Ba Mn Te
3 3 6
Direct
0.0000 0.0000 0.0000
0.3333 0.6667 0.6667
0.6667 0.3333 0.3333
0.0000 0.0000 0.5000
0.3333 0.6667 0.1667
0.6667 0.3333 0.8333
0.0000 0.0000 0.4003
0.0000 0.0000 0.5997
0.3333 0.6667 0.0670
0.3333 0.6667 0.2664
0.6667 0.3333 0.7336
0.6667 0.3333 0.9330
```

Calculated values
Total moment, μB/atom: 1.2500
Formation energy without anion corrections, eV per atom: -0.61
E_tot, eV per atom: -4.95
Symmetry: R-3m (166)

=====

Entry from Alexandria: a geometry-optimized Ta2ReBr structure (PBE).

Structure (POSCAR):
```
Ta2ReBr
1.0
6.0264 0.0000 0.0000
0.0000 7.5535 0.0000
-0.5112 0.0000 3.0720
Ta Re Br
4 2 2
Direct
0.2500 0.2500 0.0000
0.2500 0.7500 0.0000
0.7500 0.2500 0.0000
0.7500 0.7500 0.0000
0.0000 0.0000 0.5000
0.5000 0.5000 0.5000
0.0000 0.5000 0.5000
0.5000 0.0000 0.5000
```

Calculated values
Total moment, μB/atom: 0.0000
E above lowest polymorph, meV per atom: 433
Formation energy without anion corrections, eV per atom: 0.61
E_tot, eV per atom: -8.84
Symmetry: C2/m (12)

=====

Entry from Alexandria: a geometry-optimized PaIClO6 structure (PBE).

Structure (POSCAR):
```
PaIClO6
1.0
-3.6706 4.1054 5.4689
3.6706 -4.1054 5.4689
3.6706 4.1054 -5.4689
Pa I Cl O
2 2 2 12
Direct
0.0000 0.0000 0.0000
0.5000 0.0000 0.5000
0.5000 0.0000 0.0000
0.5000 0.5000 0.5000
0.0366 0.2866 0.7500
0.9634 0.7134 0.2500
0.1895 0.9395 0.2500
0.2216 0.3316 0.2847
0.2216 0.9369 0.8900
0.4325 0.6825 0.7500
0.4531 0.0631 0.7847
0.4531 0.6684 0.3900
0.5469 0.3316 0.6100
0.5469 0.9369 0.2153
0.5675 0.3175 0.2500
0.7784 0.0631 0.1100
0.7784 0.6684 0.7153
0.8105 0.0605 0.7500
```

Calculated values
Total moment, μB/atom: 0.1103
Formation energy without anion corrections, eV per atom: -1.29
E_tot, eV per atom: -6.03
Symmetry: Imma (74)

=====

Entry from Alexandria: a geometry-optimized NaSb2 structure (PBE).

Structure (POSCAR):
```
NaSb2
1.0
6.5185 0.0000 0.0000
0.0000 5.4127 0.0000
-2.3764 0.0000 5.5154
Na Sb
2 4
Direct
0.0000 0.0000 0.0000
0.5000 0.5000 0.0000
0.2443 0.0000 0.6039
0.2557 0.5000 0.3961
0.7443 0.5000 0.6039
0.7557 0.0000 0.3961
```

Calculated values
Total moment, μB/atom: 0.0000
E above lowest polymorph, meV per atom: 5
Formation energy without anion corrections, eV per atom: -0.15
E_tot, eV per atom: -3.34
Symmetry: C2/m (12)

=====

Entry from Alexandria: a geometry-optimized ZrTaNi3 structure (PBE).

Structure (POSCAR):
```
ZrTaNi3
1.0
4.4578 0.0000 0.0000
0.0000 4.4578 0.0000
0.0000 0.0000 4.4578
Zr Ta Ni
1 1 3
Direct
0.0000 0.0000 0.0000
0.5000 0.5000 0.5000
0.0000 0.0000 0.5000
0.0000 0.5000 0.0000
0.5000 0.0000 0.0000
```

Calculated values
Total moment, μB/atom: 0.0000
E above lowest polymorph, meV per atom: 451
E_tot, eV per atom: -6.34
Symmetry: Pm-3m (221)
Formation enthalpy at 0 K, meV/atom: 1210

=====

Entry from Alexandria: a geometry-optimized Er2TiS4 structure (PBE).

Structure (POSCAR):
```
Er2TiS4
1.0
13.4234 0.0000 0.0000
0.0000 3.7890 0.0000
-3.3556 0.0000 5.9463
Er Ti S
4 2 8
Direct
0.2280 0.0000 0.2186
0.2720 0.5000 0.7814
0.7280 0.5000 0.2186
0.7720 0.0000 0.7814
0.0000 0.5000 0.5000
0.5000 0.0000 0.5000
0.1127 0.5000 0.9173
0.1268 0.0000 0.4868
0.3732 0.5000 0.5132
0.3873 0.0000 0.0827
0.6127 0.0000 0.9173
0.6268 0.5000 0.4868
0.8732 0.0000 0.5132
0.8873 0.5000 0.0827
```

Calculated values
Total moment, μB/atom: 0.0527
Formation energy without anion corrections, eV per atom: -1.76
E_tot, eV per atom: -6.55
Symmetry: C2/m (12)